As2PW: single point on PBEsol structure, meta-GGA SCAN.

abc: 3.2145 4.3846 5.5296
angles: 97.48 90.00 111.50
Last column: nearest neighbours and their distance in Å.
Atoms (fractional coordinates):
As (0.9632, 0.9264, 0.9571)  2 W 2.70, 2 P 2.74, 1 As 2.79
As (0.7378, 0.4756, 0.2925)  1 P 2.45, 2 W 2.59
W (0.2582, 0.5163, 0.6624)  3 P 2.39-2.40, 2 As 2.59
P (0.5409, 0.0818, 0.5880)  3 W 2.39-2.40, 1 As 2.45

## Properties
- N(E_F) (states/eV/atom) = 0.30
- SG = Cm (8)
- total magnetic moment (μB per formula unit) = 0.000
- VASP energy (eV/cell) = -120.0
- formation energy (kJ/mol of formula units) = 49


InHg3Pt: single point on PBEsol structure, meta-GGA SCAN.

abc: 5.1883 5.1883 5.1883
angles: 90.00 90.00 90.00
Last column: nearest neighbours and their distance in Å.
Atoms (fractional coordinates):
Pt (0.0000, 0.0000, 0.0000)  6 Hg 2.59
Hg (0.0000, 0.5000, 0.0000)  2 Pt 2.59
Hg (0.0000, 0.0000, 0.5000)  2 Pt 2.59
Hg (0.5000, 0.0000, 0.0000)  2 Pt 2.59
In (0.5000, 0.5000, 0.5000)  12 Hg 3.67

## Properties
- N(E_F) (states/eV/atom) = 0.35
- SG = Pm-3m (221)
- total magnetic moment (μB per formula unit) = 0.000
- VASP energy (eV/cell) = -307.8
- formation energy (kJ/mol of formula units) = 25


FeHgBiW2: single point on PBEsol structure, meta-GGA SCAN.

abc: 5.0513 5.0513 5.2917
angles: 90.00 90.00 90.00
Last column: nearest neighbours and their distance in Å.
Atoms (fractional coordinates):
W (0.0000, 0.5000, 0.0000)  2 Bi 2.53
W (0.5000, 0.0000, 0.0000)  2 Bi 2.53
Fe (0.5000, 0.5000, 0.5000)  4 Hg 3.57, 8 W 3.66
Bi (0.0000, 0.0000, 0.0000)  4 W 2.53, 2 Hg 2.65
Hg (0.0000, 0.0000, 0.5000)  2 Bi 2.65

## Properties
- N(E_F) (states/eV/atom) = 0.96
- SG = P4/mmm (123)
- total magnetic moment (μB per formula unit) = 5.810
- VASP energy (eV/cell) = -289.0
- formation energy (kJ/mol of formula units) = 1474


Ag2OsRhSe: single point on PBEsol structure, meta-GGA SCAN.

abc: 4.5285 4.9737 4.9737
angles: 90.00 90.00 90.00
Last column: nearest neighbours and their distance in Å.
Atoms (fractional coordinates):
Ag (0.0000, 0.5000, 0.0000)  2 Os 2.49
Ag (0.0000, 0.0000, 0.5000)  2 Os 2.49
Os (0.0000, 0.0000, 0.0000)  2 Rh 2.26, 4 Ag 2.49
Rh (0.5000, 0.0000, 0.0000)  2 Os 2.26
Se (0.5000, 0.5000, 0.5000)  8 Ag 3.36, 4 Rh 3.52

## Properties
- N(E_F) (states/eV/atom) = 1.19
- SG = P4/mmm (123)
- total magnetic moment (μB per formula unit) = 0.001
- energy relative to the elements, uncorrected (eV/atom) = 1.486
- VASP energy (eV/cell) = -181.0


Look up the N(E_F) of the fourth one. 1.19 states/eV/atom


What did the third record say?
FeHgBiW2: single point on PBEsol structure, meta-GGA SCAN.

abc: 5.0513 5.0513 5.2917
angles: 90.00 90.00 90.00
Last column: nearest neighbours and their distance in Å.
Atoms (fractional coordinates):
W (0.0000, 0.5000, 0.0000)  2 Bi 2.53
W (0.5000, 0.0000, 0.0000)  2 Bi 2.53
Fe (0.5000, 0.5000, 0.5000)  4 Hg 3.57, 8 W 3.66
Bi (0.0000, 0.0000, 0.0000)  4 W 2.53, 2 Hg 2.65
Hg (0.0000, 0.0000, 0.5000)  2 Bi 2.65

## Properties
- N(E_F) (states/eV/atom) = 0.96
- SG = P4/mmm (123)
- total magnetic moment (μB per formula unit) = 5.810
- VASP energy (eV/cell) = -289.0
- formation energy (kJ/mol of formula units) = 1474


The highest total magnetic moment belongs to which entry? FeHgBiW2


Which value of total magnetic moment does entry 4 give? 0.001 μB per formula unit